The following is a DFT calculation (PBE) of a relaxed PmCuPb crystal.

Energy above the lowest structure with this stoichiometry   0.0 kJ/mol of atoms
Energy relative to the elements   -9.86 kcal/mol of atoms
Size of the total moment   0.00 Bohr magnetons per cell

Lattice parameters (Å, degrees): 6.693 6.693 6.693 90.00 90.00 90.00
Space group F-43m (No. 216)
Asymmetric unit:
1 Pm 0.000 0.000 0.000 [4 per cell]
2 Cu 0.250 0.250 0.250 [4 per cell]
3 Pb 0.000 0.000 0.500 [4 per cell]